First-principles (PBE) data for a relaxed Co2MoIr crystal, as listed in the Alexandria database.

Cell: 2.650 2.650 7.379 Å, 90.00 90.00 90.00°
Fractional positions:
Co  0.000  0.000  0.243
Co  0.000  0.000  0.757
Mo  0.500  0.500  0.500
Ir  0.500  0.500  0.000

Summary:
Size of the total moment = 2.313 Bohr magnetons per cell
DFT formation energy = 0.0735 eV per atom
Theoretical density = 13.01 Mg/m³
Space-group type = P4/mmm, No. 123
Crystal system = tetragonal

***

First-principles (PBE) data for a relaxed Co2MoIr crystal, as listed in the Alexandria database.

Cell: 2.629 3.680 5.292 Å, 90.00 90.00 90.00°
Fractional positions:
Co  0.000  0.000  0.243
Co  0.000  0.000  0.757
Mo  0.500  0.500  0.500
Ir  0.500  0.500  0.000

Summary:
Size of the total moment = 0.502 Bohr magnetons per cell
DFT formation energy = 0.0081 eV per atom
Theoretical density = 13.17 Mg/m³
Space-group type = Pmmm, No. 47
Crystal system = orthorhombic

***

First-principles (PBE) data for a relaxed Co2MoIr crystal, as listed in the Alexandria database.

Cell: 8.970 8.970 8.970 Å, 156.60 156.60 33.33°
Fractional positions:
Co  0.108  0.625  0.983
Co  0.375  0.358  0.483
Co  0.642  0.125  0.017
Co  0.875  0.892  0.517
Mo  0.250  0.750  0.500
Mo  0.500  0.500  0.000
Ir  0.000  0.000  0.000
Ir  0.750  0.250  0.500

Summary:
Size of the total moment = 3.254 Bohr magnetons per cell
DFT formation energy = 0.4796 eV per atom
Theoretical density = 11.85 Mg/m³
Space-group type = I-42d, No. 122
Crystal system = tetragonal